Entry 1:
This record from the Alexandria database describes a relaxed AgAu crystal. The functional is GGA-PBEsol.

The structure in extended XYZ format:
```
4
Lattice="2.854 0.000 0.000 0.000 4.723 0.000 0.000 0.000 4.959" Properties=species:S:1:pos:R:3 pbc="T T T"
Ag 0.000 0.000 2.904
Ag 1.427 2.361 2.054
Au 1.427 0.000 0.432
Au 0.000 2.361 4.527
```

Results
The value obtained for the total magnetic moment is 0.00 μB per atom. The calculation puts the calculated volume at 66.8 Å³ per cell. The value obtained for the energy relative to the elements is -37 meV/atom.

=====

Entry 2:
This record from the Alexandria database describes a relaxed TcPOs2 crystal. The functional is GGA-PBEsol.

The structure in extended XYZ format:
```
4
Lattice="2.818 0.000 0.000 0.000 2.818 0.000 0.000 0.000 6.636" Properties=species:S:1:pos:R:3 pbc="T T T"
Os 0.000 0.000 5.193
Os 0.000 0.000 1.442
P 1.409 1.409 0.000
Tc 1.409 1.409 3.318
```

Results
The value obtained for the total magnetic moment is 0.00 μB per atom. The calculation puts the calculated volume at 52.7 Å³ per cell. The value obtained for the energy relative to the elements is -86 meV/atom.

=====

Entry 3:
This record from the Alexandria database describes a relaxed Fe5Re crystal. The functional is GGA-PBEsol.

The structure in extended XYZ format:
```
6
Lattice="2.515 0.000 0.000 0.000 3.950 0.000 -1.258 0.000 6.485" Properties=species:S:1:pos:R:3 pbc="T T T"
Re 0.000 1.975 1.421
Fe 1.258 1.975 3.686
Fe 0.000 0.000 4.324
Fe 1.258 0.000 6.414
Fe 0.000 1.975 5.696
Fe 1.258 0.000 2.237
```

Results
The value obtained for the total magnetic moment is 0.04 μB per atom. The calculation puts the calculated volume at 64.4 Å³ per cell. The value obtained for the energy relative to the elements is 30 meV/atom.

=====

Entry 4:
This record from the Alexandria database describes a relaxed CrRh2Br crystal. The functional is GGA-PBEsol.

The structure in extended XYZ format:
```
4
Lattice="2.816 0.000 0.000 1.408 2.439 0.000 1.408 0.813 8.236" Properties=species:S:1:pos:R:3 pbc="T T T"
Br 2.816 1.626 3.917
Rh 4.224 2.439 6.198
Rh 4.224 2.439 0.142
Cr 1.408 0.813 2.097
```

Results
The value obtained for the total magnetic moment is 0.01 μB per atom. The calculation puts the calculated volume at 56.6 Å³ per cell. The calculation puts the energy relative to the elements, uncorrected at 432 meV/atom.

=====

Entry 5:
This record from the Alexandria database describes a relaxed CsSmGeS4 crystal. The functional is GGA-PBEsol.

The structure in extended XYZ format:
```
28
Lattice="-6.243 -1.035 1.388 1.631 -1.312 6.358 -1.941 17.099 4.027" Properties=species:S:1:pos:R:3 pbc="T T T"
S -2.890 13.781 10.548
S -3.858 8.895 6.264
S -3.653 10.429 9.579
S -3.313 12.424 6.380
S -5.203 -0.076 4.927
S -2.408 1.888 2.716
S -3.200 4.333 6.948
S -1.157 6.903 1.806
S -3.772 5.148 3.821
S -1.229 10.652 4.247
S -0.649 10.075 7.584
S -6.308 12.660 9.488
S -1.797 1.043 5.990
S -5.894 2.679 2.622
S -0.246 3.972 4.964
S -6.850 13.206 6.297
Sm -2.756 12.979 3.522
Sm -4.065 2.519 4.950
Sm -0.765 3.077 7.742
Sm -5.520 10.928 7.331
Cs -2.397 7.292 9.122
Cs -6.190 6.331 6.463
Cs -4.332 15.370 7.763
Cs -0.188 0.510 0.198
Ge -5.570 4.869 2.538
Ge -2.326 10.451 6.174
Ge -4.430 12.232 10.604
Ge -0.780 1.951 4.230
```

Results
The value obtained for the total magnetic moment is 0.00 μB per atom. The calculation puts the calculated volume at 766.4 Å³ per cell. The calculation puts the energy relative to the elements, uncorrected at -1310 meV/atom.

=====

Entry 6:
This record from the Alexandria database describes a relaxed SnTePd crystal. The functional is GGA-PBEsol.

The structure in extended XYZ format:
```
24
Lattice="6.550 0.000 0.000 0.000 6.592 0.000 0.000 0.000 12.864" Properties=species:S:1:pos:R:3 pbc="T T T"
Sn 5.613 1.199 12.040
Sn 0.938 5.393 0.824
Sn 2.337 2.097 0.824
Sn 4.213 4.495 12.040
Sn 2.337 1.199 7.256
Sn 5.613 2.097 5.608
Sn 0.938 4.495 7.256
Sn 4.213 5.393 5.608
Pd 6.539 4.460 4.767
Pd 3.286 2.133 11.199
Pd 0.011 1.164 1.665
Pd 3.264 4.460 1.665
Pd 0.011 2.133 8.097
Pd 3.286 1.164 4.767
Pd 6.539 5.429 11.199
Pd 3.264 5.429 8.097
Te 5.718 3.632 2.309
Te 2.442 3.632 4.123
Te 5.718 6.257 8.741
Te 0.833 2.960 10.555
Te 0.833 0.336 4.123
Te 4.108 2.960 8.741
Te 4.108 0.336 2.309
Te 2.442 6.257 10.555
```

Results
The value obtained for the total magnetic moment is 0.00 μB per atom. The calculation puts the calculated volume at 555.5 Å³ per cell. The calculation puts the energy relative to the elements, uncorrected at -470 meV/atom.

=====

Entry 7:
This record from the Alexandria database describes a relaxed Mn3Cr crystal. The functional is GGA-PBEsol.

The structure in extended XYZ format:
```
4
Lattice="3.925 0.000 0.000 1.962 3.399 0.000 1.962 1.133 3.205" Properties=species:S:1:pos:R:3 pbc="T T T"
Mn 1.962 1.133 0.801
Mn 5.887 3.399 2.403
Mn 3.925 2.266 1.602
Cr 0.000 0.000 0.000
```

Results
The value obtained for the total magnetic moment is 0.64 μB per atom. The calculation puts the calculated volume at 42.8 Å³ per cell. The value obtained for the energy relative to the elements is 117 meV/atom.

=====

Entry 8:
This record from the Alexandria database describes a relaxed Ba2TlCu crystal. The functional is GGA-PBEsol.

The structure in extended XYZ format:
```
4
Lattice="3.941 0.000 0.000 0.000 3.941 0.022 0.000 -0.047 8.418" Properties=species:S:1:pos:R:3 pbc="T T T"
Ba 0.000 -0.012 2.298
Ba 0.000 3.906 6.142
Tl 1.970 1.970 0.011
Cu 1.970 1.947 4.220
```

Results
The value obtained for the total magnetic moment is 0.00 μB per atom. The calculation puts the calculated volume at 130.7 Å³ per cell. The value obtained for the energy relative to the elements is -134 meV/atom.

=====

Entry 9:
This record from the Alexandria database describes a relaxed Cr2CoNi crystal. The functional is GGA-PBEsol.

The structure in extended XYZ format:
```
4
Lattice="2.415 0.000 0.000 0.000 2.415 0.000 0.000 0.000 7.211" Properties=species:S:1:pos:R:3 pbc="T T T"
Ni 1.208 1.208 0.000
Co 1.208 1.208 3.606
Cr 0.000 0.000 5.365
Cr 0.000 0.000 1.846
```

Results
The value obtained for the total magnetic moment is 0.00 μB per atom. The calculation puts the calculated volume at 42.1 Å³ per cell. The value obtained for the energy relative to the elements is 18 meV/atom.

=====

Entry 10:
This record from the Alexandria database describes a relaxed Tl2NiW crystal. The functional is GGA-PBEsol.

The structure in extended XYZ format:
```
4
Lattice="2.928 0.000 -0.016 0.000 4.355 0.000 -0.516 0.000 5.615" Properties=species:S:1:pos:R:3 pbc="T T T"
Tl 2.090 0.000 4.158
Tl 0.322 0.000 1.440
Ni -0.258 2.177 2.808
W 1.464 2.177 -0.008
```

Results
The value obtained for the total magnetic moment is 0.00 μB per atom. The calculation puts the calculated volume at 71.6 Å³ per cell. The value obtained for the energy relative to the elements is 870 meV/atom.

=====

Entry 11:
This record from the Alexandria database describes a relaxed CaScCo2 crystal. The functional is GGA-PBEsol.

The structure in extended XYZ format:
```
4
Lattice="3.500 0.000 0.000 0.000 4.048 -0.339 -1.750 -1.571 5.592" Properties=species:S:1:pos:R:3 pbc="T T T"
Co 0.000 0.044 0.519
Co 1.750 0.149 1.782
Ca 0.000 2.274 2.830
Sc 1.750 2.034 -0.048
```

Results
The value obtained for the total magnetic moment is 0.48 μB per atom. The calculation puts the calculated volume at 77.4 Å³ per cell. The value obtained for the energy relative to the elements is 154 meV/atom.

=====

Entry 12:
This record from the Alexandria database describes a relaxed YBeCd2 crystal. The functional is GGA-PBEsol.

The structure in extended XYZ format:
```
4
Lattice="-2.819 1.014 0.528 -0.665 -0.612 -5.048 0.113 -5.158 3.075" Properties=species:S:1:pos:R:3 pbc="T T T"
Be -1.409 0.507 0.264
Y -0.333 -0.306 -2.524
Cd -1.686 -2.378 -0.722
Cd 0.056 -2.579 1.538
```

Results
The value obtained for the total magnetic moment is 0.00 μB per atom. The calculation puts the calculated volume at 82.0 Å³ per cell. The value obtained for the energy relative to the elements is 240 meV/atom.

=====

Q: Look up the total magnetic moment of the eleventh one.
A: 0.48 μB per atom

=====

Q: Which formula does entry 2 have?
A: TcPOs2

=====

Q: total magnetic moment of number 5 (CsSmGeS4)?
A: 0.00 μB per atom